PrNd2Cd3Ir2Au: optimized geometry, PBE.

## Properties
ΔE_f   -0.566 eV per atom
Theoretical density   10.7 g cm⁻³
E_tot   -4.78 eV per atom

Cell lengths 4.030, 7.744, 7.744 Å; angles 120.06, 90.00, 90.00 degrees
Element x y z (fractional)
Au: 0.000 0.999 0.999
Cd: 0.500 0.999 0.260
Cd: 0.500 0.740 0.740
Cd: 0.500 0.260 0.999
Ir: 0.500 0.668 0.333
Ir: 0.500 0.333 0.668
Nd: 0.000 0.587 0.000
Nd: 0.000 0.000 0.587
Pr: 0.000 0.414 0.414